(1)
Ca2UCu2S6 | PBE | relaxed

The space group is P-31m (No. 162) and the conventional cell measures 6.4293, 6.4293 and 6.5144 Å, with angles of 90.00, 90.00 and 120.00 degrees. The asymmetric unit holds Ca at (0.3333, 0.6667, 0.0000), U at (0.0000, 0.0000, 0.5000), Cu at (0.3333, 0.6667, 0.5000) and S at (0.0000, 0.3368, 0.2787).

The volume is 233.2 Å³/f.u. Its electronic total energy is -5.51 eV/atom. For the formation energy without anion corrections, the calculation gives -25.9 kcal/mol of atoms. As for the density of states at the Fermi level: 0.6516 states/eV per atom.


(2)
Ca2UCuS5 | PBE | relaxed

The space group is Cmc2_1 (No. 36) and the conventional cell measures 3.978, 16.055 and 13.539 Å, with angles of 90.00, 90.00 and 90.00 degrees. The asymmetric unit holds Ca at (0.000, 0.080, 0.000), Ca at (0.000, 0.081, 0.714), U at (0.000, 0.222, 0.364), Cu at (0.000, 0.410, 0.754), S at (0.000, 0.062, 0.347), S at (0.000, 0.266, 0.992), S at (0.000, 0.269, 0.733), S at (0.000, 0.384, 0.358) and S at (0.000, 0.494, 0.615).

The volume is 216.2 Å³/f.u. Its electronic total energy is -5.92 eV/atom. For the formation energy without anion corrections, the calculation gives -33.9 kcal/mol of atoms. As for the density of states at the Fermi level: 0.5167 states/eV per atom.